A plane-wave DFT calculation with PBE was carried out for a relaxed BiPW4N2 crystal.

## Properties
- Density: 14.61 g cm⁻³
- E: -9.334 eV/atom

Cell and atoms, written as POSCAR:
```
BiPW4N2
1.0
3.052 0.000 0.000
-1.526 2.643 0.000
0.000 0.000 14.135
W P Bi N
4 1 1 2
direct
0.000 0.000 0.378
0.667 0.333 0.806
0.667 0.333 0.194
0.000 0.000 0.622
0.667 0.333 0.500
0.000 0.000 0.000
0.333 0.667 0.279
0.333 0.667 0.721
```

=====

A plane-wave DFT calculation with PBE was carried out for a relaxed Er2Pb crystal.

## Properties
- Density: 10.31 g cm⁻³
- E: -4.618 eV/atom

Cell and atoms, written as POSCAR:
```
Er2Pb
1.0
-7.449 -2.387 -1.766
1.552 -2.180 -3.600
1.280 -7.978 5.382
Pb Er
4 8
direct
0.761 0.250 0.871
0.739 0.750 0.371
0.261 0.250 0.629
0.239 0.750 0.129
0.632 0.750 0.069
0.457 0.250 0.324
0.043 0.750 0.824
0.957 0.250 0.176
0.868 0.250 0.569
0.368 0.250 0.931
0.132 0.750 0.431
0.543 0.750 0.676
```

=====

A plane-wave DFT calculation with PBE was carried out for a relaxed PrY2Sn3PdPt2 crystal.

## Properties
- Density: 9.57 g cm⁻³
- E: -6.252 eV/atom

Cell and atoms, written as POSCAR:
```
PrY2Sn3PdPt2
1.0
4.074 0.000 0.000
0.000 6.593 3.782
0.000 -6.593 3.782
Pr Sn Pd Pt Y
1 3 1 2 2
direct
0.000 0.590 0.590
0.500 0.254 0.254
0.500 0.004 0.745
0.500 0.745 0.004
0.000 0.004 0.004
0.500 0.669 0.328
0.500 0.328 0.669
0.000 0.407 0.999
0.000 0.999 0.407
```

=====

A plane-wave DFT calculation with PBE was carried out for a relaxed ErAsN2O crystal.

## Properties
- Density: 8.73 g cm⁻³
- E: -6.977 eV/atom

Cell and atoms, written as POSCAR:
```
ErAsN2O
1.0
3.735 -3.761 0.000
3.735 3.761 0.000
-3.652 0.000 3.874
Er N As O
2 4 2 2
direct
0.233 0.233 0.475
0.767 0.767 0.525
0.344 0.344 0.101
0.806 0.194 0.000
0.194 0.806 0.000
0.656 0.656 0.899
0.500 0.000 0.000
0.000 0.500 0.000
0.810 0.190 0.500
0.190 0.810 0.500
```